Mg2TiAsRu | Alexandria | GGA-PBE | optimized geometry; space group = P4/mmm (123); ΔE_f = 0.91 eV per atom; density of states at the Fermi level = 1.051 states/eV per atom
1.0
5.2497 0.0000 0.0000
0.0000 5.2497 0.0000
0.0000 0.0000 4.3189
Ru As Mg Ti
1 1 2 1
Direct
0.0000 0.0000 0.5000
0.5000 0.5000 0.5000
0.0000 0.5000 0.0000
0.5000 0.0000 0.0000
0.0000 0.0000 0.0000